# 1
A relaxed Pm2Tc2N7 crystal. Source: the Alexandria database, functional PBE.

Results
ΔE_f (raw) in eV per atom: -0.297

Cell: 6.1929 5.1769 6.1929 Å, 97.85 74.27 82.15°
Last column: magnetic moment on the atom in μB.
Positions (direct):
Tc1 0.7777 0.8988 0.2223  -0.09
Tc2 0.2223 0.1012 0.7777  -0.09
N1 0.9083 0.7117 0.3916  0.05
N2 0.3916 0.2883 0.9083  0.05
N3 0.6084 0.7117 0.0917  0.05
N4 0.3898 0.7866 0.6102  0.25
N5 0.0917 0.2883 0.6084  0.05
N6 0.0000 0.0000 0.0000  0.16
N7 0.6102 0.2134 0.3898  0.25
Pm1 0.6966 0.5000 0.6966  0.00
Pm2 0.3034 0.5000 0.3034  0.00


# 2
A relaxed Pr2YHo2Er crystal. Source: the Alexandria database, functional PBE.

Results
ΔE_f in eV/atom: 0.07

Cell: 5.6645 7.0558 9.8368 Å, 90.00 90.00 90.00°
Positions (direct):
Ho1 0.5000 0.2576 0.3335
Ho2 0.5000 0.7576 0.6665
Ho3 0.0000 0.7576 0.1646
Ho4 0.0000 0.2576 0.8354
Pr1 0.0000 0.2579 0.1758
Pr2 0.5000 0.5076 0.9996
Pr3 0.5000 0.0076 0.0004
Pr4 0.0000 0.7579 0.8242
Er1 0.5000 0.7573 0.3399
Er2 0.5000 0.2573 0.6601
Y1 0.0000 0.5075 0.5002
Y2 0.0000 0.0075 0.4998


# 3
A relaxed AlNiMo2 crystal. Source: the Alexandria database, functional PBE.

Results
ΔE_f in eV/atom: 0.04

Cell: 9.0058 9.0058 9.0058 Å, 17.58 17.58 17.58°
Positions (direct):
Al1 0.2436 0.2436 0.2436
Mo1 0.7559 0.7559 0.7559
Mo2 0.9972 0.9972 0.9972
Ni1 0.5033 0.5033 0.5033


# 4
A relaxed Cd2PbN crystal. Source: the Alexandria database, functional PBE.

Results
ΔE_f (raw) in eV per atom: 0.472
E above lowest polymorph in meV/atom: 0

Cell: 6.5728 6.5728 6.5380 Å, 59.82 59.82 90.00°
Positions (direct):
Cd1 0.4957 0.1250 0.2500
Cd2 0.3750 0.5043 0.7500
Cd3 0.8750 0.7457 0.7500
Cd4 0.2543 0.6250 0.2500
N1 0.2500 0.7500 0.5000
N2 0.5000 0.5000 0.0000
Pb1 0.7500 0.2500 0.5000
Pb2 0.0000 0.0000 0.0000